No. 1
Material: BaTmTl
Method: DFT, PBE-GGA
State: optimized geometry

Cell: 5.547 5.547 5.547 Å, 60.00 60.00 60.00°
Element x y z (fractional)
Ba 0.250 0.250 0.250
Tl 0.000 0.000 0.000
Tm 0.750 0.750 0.750

Calculated values
VASP energy   -2.85 eV per atom
Mass density   7.027 g cm⁻³



No. 2
Material: BaUTl
Method: DFT, PBE-GGA
State: optimized geometry

Cell: 5.568 5.568 5.568 Å, 60.00 60.00 60.00°
Element x y z (fractional)
Ba 0.250 0.250 0.250
Tl 0.000 0.000 0.000
U 0.750 0.750 0.750

Calculated values
VASP energy   -4.31 eV per atom
Mass density   7.886 g cm⁻³



No. 3
Material: BaTl2Zn4
Method: DFT, PBE-GGA
State: optimized geometry

Cell: 4.991 4.991 7.366 Å, 90.00 90.00 90.00°
Element x y z (fractional)
Ba 0.500 0.500 0.000
Tl 0.000 0.000 0.000
Tl 0.500 0.500 0.500
Zn 0.500 0.000 0.300
Zn 0.000 0.500 0.300
Zn 0.500 0.000 0.700
Zn 0.000 0.500 0.700

Calculated values
VASP energy   -1.62 eV per atom
Mass density   7.311 g cm⁻³



No. 4
Material: Ba4TlZn
Method: DFT, PBE-GGA
State: optimized geometry

Cell: 4.250 4.250 15.298 Å, 90.00 90.00 90.00°
Element x y z (fractional)
Ba 0.500 0.500 0.125
Ba 0.000 0.000 0.365
Ba 0.000 0.000 0.635
Ba 0.500 0.500 0.875
Tl 0.500 0.500 0.500
Zn 0.000 0.000 0.000

Calculated values
VASP energy   -2.11 eV per atom
Mass density   4.922 g cm⁻³



Question: Look up the VASP energy of the first one.
Answer: -2.85 eV per atom



Question: VASP energy of number 2 (BaUTl)?
Answer: -4.31 eV per atom



Question: Which of these has the highest mass density?
Answer: BaUTl



Question: What is the VASP energy in the first record?
Answer: -2.85 eV per atom